A geometry-optimized CsAl3H structure. Source: the Alexandria database, functional PBE.

Output
Its total magnetic moment is 0.00 μB per atom. As for the total DFT energy (no corrections): -0.083 hartree per atom. Its energy above the lowest structure with this stoichiometry is 0.0 kJ/mol of atoms. As for the space group: Pm-3m (221).

Lattice parameters (Å, degrees): 4.889 4.889 4.889 90.00 90.00 90.00
Positions (direct):
1 Cs 0.500 0.500 0.500
2 H 0.000 0.000 0.000
3 Al 0.000 0.500 0.000
4 Al 0.000 0.000 0.500
5 Al 0.500 0.000 0.000

***

A geometry-optimized Cs3AlH structure. Source: the Alexandria database, functional PBE.

Output
Its total magnetic moment is 0.57 μB per atom. As for the total DFT energy (no corrections): -0.064 hartree per atom. Its energy above the lowest structure with this stoichiometry is 0.0 kJ/mol of atoms. As for the space group: Pm-3m (221).

Lattice parameters (Å, degrees): 6.169 6.169 6.169 90.00 90.00 90.00
Positions (direct):
1 Cs 0.000 0.500 0.000
2 Cs 0.000 0.000 0.500
3 Cs 0.500 0.000 0.000
4 H 0.000 0.000 0.000
5 Al 0.500 0.500 0.500

***

A geometry-optimized Cs5AlH8 structure. Source: the Alexandria database, functional PBE.

Output
Its total magnetic moment is 0.00 μB per atom. As for the total DFT energy (no corrections): -0.097 hartree per atom. As for the space group: I-4 (82).

Lattice parameters (Å, degrees): 8.137 8.137 8.137 99.71 114.56 114.56
Positions (direct):
1 Cs 0.590 0.616 0.776
2 Cs 0.161 0.974 0.384
3 Cs 0.410 0.187 0.026
4 Cs 0.000 0.500 0.500
5 Cs 0.839 0.224 0.813
6 Al 0.500 0.750 0.250
7 H 0.332 0.509 0.147
8 H 0.638 0.823 0.491
9 H 0.827 0.501 0.101
10 H 0.600 0.326 0.499
11 H 0.400 0.899 0.726
12 H 0.362 0.853 0.185
13 H 0.668 0.815 0.177
14 H 0.173 0.274 0.674

***

A geometry-optimized CsAlH2 structure. Source: the Alexandria database, functional PBE.

Output
Its total magnetic moment is 0.00 μB per atom. As for the total DFT energy (no corrections): -0.093 hartree per atom. Its energy above the lowest structure with this stoichiometry is 23.3 kJ/mol of atoms. As for the space group: I4_1/amd (141).

Lattice parameters (Å, degrees): 8.190 8.190 8.190 130.64 130.64 72.39
Positions (direct):
1 Cs 0.875 0.625 0.250
2 Cs 0.375 0.625 0.750
3 Cs 0.375 0.625 0.250
4 Cs 0.375 0.125 0.750
5 Al 0.375 0.125 0.250
6 Al 0.875 0.125 0.750
7 Al 0.875 0.125 0.250
8 Al 0.875 0.625 0.750
9 H 0.153 0.308 0.155
10 H 0.153 0.999 0.845
11 H 0.058 0.403 0.655
12 H 0.597 0.942 0.345
13 H 0.749 0.403 0.345
14 H 0.597 0.251 0.655
15 H 0.692 0.847 0.845
16 H 0.001 0.847 0.155

***

A geometry-optimized CsAlH2 structure. Source: the Alexandria database, functional PBE.

Output
Its total magnetic moment is 0.00 μB per atom. As for the total DFT energy (no corrections): -0.095 hartree per atom. Its energy above the lowest structure with this stoichiometry is 17.7 kJ/mol of atoms. As for the space group: I-42d (122).

Lattice parameters (Å, degrees): 5.363 5.363 6.890 67.10 67.10 90.00
Positions (direct):
1 Cs 0.000 0.000 0.000
2 Cs 0.750 0.250 0.500
3 H 0.372 0.125 0.250
4 H 0.378 0.625 0.250
5 H 0.375 0.628 0.750
6 H 0.875 0.622 0.750
7 Al 0.500 0.500 0.000
8 Al 0.250 0.750 0.500

***

A geometry-optimized Cs2Al2H structure. Source: the Alexandria database, functional PBE.

Output
Its total magnetic moment is 0.00 μB per atom. As for the total DFT energy (no corrections): -0.086 hartree per atom. As for the space group: I4/mmm (139).

Lattice parameters (Å, degrees): 3.888 3.888 11.037 79.85 79.85 90.00
Positions (direct):
1 Cs 0.412 0.412 0.176
2 Cs 0.588 0.588 0.824
3 H 0.000 0.000 0.000
4 Al 0.750 0.250 0.500
5 Al 0.250 0.750 0.500

***

- What is the total DFT energy (no corrections) in the second record?
  -0.064 hartree per atom